Material: Pm2Nd6Sm3
Method: DFT, PBE
State: relaxed

Lattice parameters (Å, degrees): 4.8282 4.8282 34.2545 90.00 90.00 90.00
Space group I4/mmm (No. 139)
Symmetry-distinct sites (fractional):
Pm: 0.0000 0.0000 0.0450
Nd: 0.0000 0.0000 0.2030
Nd: 0.0000 0.5000 0.1207
Sm: 0.0000 0.0000 0.3032
Sm: 0.0000 0.0000 0.5000

* DOS at the Fermi energy: 33.7 states/eV/cell
* calculated density: 6.68 g/cm3
* ΔH_f (0 K): 0.27 eV/atom
* energy relative to the lowest polymorph listed for this composition: 255 meV/atom
* magnetic moment: 0.0000 μB/atom

***

Material: Ac5Zn4Ir
Method: DFT, PBE
State: relaxed

Lattice parameters (Å, degrees): 3.8623 3.8623 19.5113 90.00 90.00 90.00
Space group P4/mmm (No. 123)
Symmetry-distinct sites (fractional):
Ac: 0.0000 0.0000 0.0000
Ac: 0.0000 0.0000 0.2023
Ac: 0.0000 0.0000 0.4107
Zn: 0.5000 0.5000 0.1013
Zn: 0.5000 0.5000 0.3006
Ir: 0.5000 0.5000 0.5000

* DOS at the Fermi energy: 9.0 states/eV/cell
* calculated density: 9.06 g/cm3
* ΔH_f (0 K): -0.30 eV/atom
* magnetic moment: 0.0000 μB/atom

***

Material: DyPuSc
Method: DFT, PBE
State: relaxed

Lattice parameters (Å, degrees): 3.3896 3.3896 8.2774 90.00 90.00 120.00
Space group P3m1 (No. 156)
Symmetry-distinct sites (fractional):
Dy: 0.0000 0.0000 0.0000
Pu: 0.6667 0.3333 0.3461
Sc: 0.3333 0.6667 0.6681

* DOS at the Fermi energy: 9.4 states/eV/cell
* calculated density: 9.10 g/cm3
* ΔH_f (0 K): 0.13 eV/atom
* energy relative to the lowest polymorph listed for this composition: 17 meV/atom
* magnetic moment: 1.8703 μB/atom

***

Material: TbTmSc3
Method: DFT, PBE
State: relaxed

Lattice parameters (Å, degrees): 5.9192 6.3483 8.6770 72.36 89.94 62.35
Space group P-1 (No. 2)
Symmetry-distinct sites (fractional):
Tb: 0.0372 0.0915 0.1600
Tm: 0.4262 0.3045 0.9459
Sc: 0.1721 0.4912 0.2599
Sc: 0.2380 0.6948 0.5472
Sc: 0.3611 0.1032 0.6419

* DOS at the Fermi energy: 18.4 states/eV/cell
* calculated density: 5.66 g/cm3
* ΔH_f (0 K): 0.02 eV/atom
* magnetic moment: 0.0000 μB/atom

***

Material: PmPa2Ir
Method: DFT, PBE
State: relaxed

Lattice parameters (Å, degrees): 3.5687 3.5687 30.2543 90.00 90.00 120.00
Space group R-3m (No. 166, hexagonal axes)
Symmetry-distinct sites (fractional):
Pm: 0.0000 0.0000 0.0000
Pa: 0.0000 0.0000 0.1050
Ir: 0.0000 0.0000 0.5000

* DOS at the Fermi energy: 26.9 states/eV/cell
* calculated density: 11.93 g/cm3
* ΔH_f (0 K): 0.06 eV/atom
* energy relative to the lowest polymorph listed for this composition: 293 meV/atom
* magnetic moment: 0.0004 μB/atom

***

Material: CaRe2Mo
Method: DFT, PBE
State: relaxed

Lattice parameters (Å, degrees): 2.7118 4.5894 5.5131 90.00 98.71 90.00
Space group Pm (No. 6)
Symmetry-distinct sites (fractional):
Ca: 0.0000 0.0000 0.0000
Re: 0.2829 0.5000 0.7344
Re: 0.5148 0.0000 0.5019
Mo: 0.7449 0.5000 0.2601

* DOS at the Fermi energy: 2.7 states/eV/cell
* calculated density: 12.45 g/cm3
* ΔH_f (0 K): 0.58 eV/atom
* energy relative to the lowest polymorph listed for this composition: 113 meV/atom
* magnetic moment: 0.0000 μB/atom